1.
The following is a DFT calculation (GGA-PBE) of a relaxed Zr2ReCl crystal.

Geometry as CIF:
```
data_Zr2ReCl
_cell_length_a 7.1566
_cell_length_b 7.4505
_cell_length_c 3.0018
_cell_angle_alpha 90.00
_cell_angle_beta 106.52
_cell_angle_gamma 90.00
_space_group_name_H-M_alt 'C 1 2/m 1'
_space_group_IT_number 12
loop_
_space_group_symop_operation_xyz
'x,y,z'
'-x,-y,-z'
'-x,y,-z'
'x,-y,z'
'x+1/2,y+1/2,z'
'-x+1/2,-y+1/2,-z'
'-x+1/2,y+1/2,-z'
'x+1/2,-y+1/2,z'
loop_
_atom_site_label
_atom_site_fract_x
_atom_site_fract_y
_atom_site_fract_z
Zr1 0.2500 0.2500 0.0000
Re1 0.0000 0.0000 0.5000
Cl1 0.0000 0.5000 0.5000
```

Summary:
energy above the lowest structure with this stoichiometry = 502 meV per atom
total DFT energy (no corrections) = -7.9810 eV per atom
crystal system = monoclinic
energy relative to the elements, uncorrected = -0.13 eV per atom

2.
The following is a DFT calculation (GGA-PBE) of a relaxed TbDyAlTl crystal.

Geometry as CIF:
```
data_TbDyAlTl
_cell_length_a 7.4309
_cell_length_b 7.4309
_cell_length_c 7.4309
_cell_angle_alpha 90.00
_cell_angle_beta 90.00
_cell_angle_gamma 90.00
_space_group_name_H-M_alt 'F -4 3 m'
_space_group_IT_number 216
_space_group_name_Hall 'F -4 2 3'
loop_
_atom_site_label
_atom_site_fract_x
_atom_site_fract_y
_atom_site_fract_z
Tb1 0.0000 0.0000 0.0000
Dy1 0.0000 0.0000 0.5000
Al1 0.2500 0.2500 0.2500
Tl1 0.2500 0.2500 0.7500
```

Summary:
energy above the lowest structure with this stoichiometry = 24 meV per atom
total DFT energy (no corrections) = -4.1754 eV per atom
crystal system = cubic
E_form = -0.34 eV/atom

3.
The following is a DFT calculation (GGA-PBE) of a relaxed Ce3ScIr8 crystal.

Geometry as CIF:
```
data_Ce3ScIr8
_cell_length_a 5.3604
_cell_length_b 5.3604
_cell_length_c 26.2675
_cell_angle_alpha 90.00
_cell_angle_beta 90.00
_cell_angle_gamma 120.00
_space_group_name_H-M_alt 'R 3 m'
_space_group_IT_number 160
_space_group_name_Hall 'R 3 -2"'
loop_
_atom_site_label
_atom_site_fract_x
_atom_site_fract_y
_atom_site_fract_z
Ce1 0.0000 0.0000 0.0000
Ce2 0.0000 0.0000 0.1259
Ce3 0.0000 0.0000 0.5025
Sc1 0.0000 0.0000 0.6272
Ir1 0.0000 0.0000 0.3132
Ir2 0.0000 0.0000 0.8135
Ir3 0.0002 0.5001 0.5648
Ir4 0.1674 0.3348 0.3957
```

Summary:
total DFT energy (no corrections) = -8.6731 eV per atom
crystal system = trigonal
E_form = -0.75 eV/atom

4.
The following is a DFT calculation (GGA-PBE) of a relaxed TbGa2Pt5Au crystal.

Geometry as CIF:
```
data_TbGa2Pt5Au
_cell_length_a 4.0651
_cell_length_b 4.0651
_cell_length_c 9.6633
_cell_angle_alpha 90.00
_cell_angle_beta 90.00
_cell_angle_gamma 90.00
_space_group_name_H-M_alt 'P 4/m m m'
_space_group_IT_number 123
_space_group_name_Hall '-P 4 2'
loop_
_atom_site_label
_atom_site_fract_x
_atom_site_fract_y
_atom_site_fract_z
Tb1 0.0000 0.0000 0.0000
Ga1 0.5000 0.5000 0.3755
Pt1 0.0000 0.5000 0.2226
Pt2 0.5000 0.5000 0.0000
Au1 0.0000 0.0000 0.5000
```

Summary:
total DFT energy (no corrections) = -5.5033 eV per atom
crystal system = tetragonal
E_form = -0.60 eV/atom

5.
The following is a DFT calculation (GGA-PBE) of a relaxed TiBiIrPd2 crystal.

Geometry as CIF:
```
data_TiBiIrPd2
_cell_length_a 4.9373
_cell_length_b 4.9373
_cell_length_c 5.0099
_cell_angle_alpha 90.00
_cell_angle_beta 90.00
_cell_angle_gamma 90.00
_space_group_name_H-M_alt 'P 4/m m m'
_space_group_IT_number 123
_space_group_name_Hall '-P 4 2'
loop_
_atom_site_label
_atom_site_fract_x
_atom_site_fract_y
_atom_site_fract_z
Ti1 0.0000 0.0000 0.0000
Bi1 0.5000 0.5000 0.5000
Ir1 0.5000 0.5000 0.0000
Pd1 0.0000 0.5000 0.5000
```

Summary:
total DFT energy (no corrections) = -5.0357 eV per atom
crystal system = tetragonal
E_form = 1.17 eV/atom

6.
The following is a DFT calculation (GGA-PBE) of a relaxed Ca2TlSb crystal.

Geometry as CIF:
```
data_Ca2TlSb
_cell_length_a 7.3938
_cell_length_b 7.3978
_cell_length_c 4.2731
_cell_angle_alpha 90.00
_cell_angle_beta 90.18
_cell_angle_gamma 90.00
_space_group_name_H-M_alt 'C 1 2/m 1'
_space_group_IT_number 12
loop_
_space_group_symop_operation_xyz
'x,y,z'
'-x,-y,-z'
'-x,y,-z'
'x,-y,z'
'x+1/2,y+1/2,z'
'-x+1/2,-y+1/2,-z'
'-x+1/2,y+1/2,-z'
'x+1/2,-y+1/2,z'
loop_
_atom_site_label
_atom_site_fract_x
_atom_site_fract_y
_atom_site_fract_z
Ca1 0.2500 0.2500 0.0000
Tl1 0.0000 0.0000 0.5000
Sb1 0.0000 0.5000 0.5000
```

Summary:
energy above the lowest structure with this stoichiometry = 0 meV per atom
total DFT energy (no corrections) = -3.2861 eV per atom
crystal system = monoclinic
energy relative to the elements, uncorrected = -0.66 eV per atom

7.
The following is a DFT calculation (GGA-PBE) of a relaxed Tc2TePt crystal.

Geometry as CIF:
```
data_Tc2TePt
_cell_length_a 3.0126
_cell_length_b 3.0126
_cell_length_c 25.4941
_cell_angle_alpha 90.00
_cell_angle_beta 90.00
_cell_angle_gamma 120.00
_space_group_name_H-M_alt 'R -3 m'
_space_group_IT_number 166
_space_group_name_Hall '-R 3 2"'
loop_
_atom_site_label
_atom_site_fract_x
_atom_site_fract_y
_atom_site_fract_z
Tc1 0.0000 0.0000 0.2481
Te1 0.0000 0.0000 0.5000
Pt1 0.0000 0.0000 0.0000
```

Summary:
total DFT energy (no corrections) = -7.0431 eV per atom
crystal system = trigonal
energy relative to the elements, uncorrected = 0.44 eV per atom

8.
The following is a DFT calculation (GGA-PBE) of a relaxed SrBePdO4 crystal.

Geometry as CIF:
```
data_SrBePdO4
_cell_length_a 6.1542
_cell_length_b 9.0963
_cell_length_c 6.6762
_cell_angle_alpha 90.00
_cell_angle_beta 90.00
_cell_angle_gamma 90.00
_space_group_name_H-M_alt 'C m c m'
_space_group_IT_number 63
_space_group_name_Hall '-C 2c 2'
loop_
_atom_site_label
_atom_site_fract_x
_atom_site_fract_y
_atom_site_fract_z
Sr1 0.0000 0.0000 0.0000
Be1 0.0000 0.3798 0.2500
Pd1 0.0000 0.3307 0.7500
O1 0.0000 0.2821 0.0404
O2 0.2044 0.4947 0.2500
```

Summary:
total DFT energy (no corrections) = -5.7732 eV per atom
crystal system = orthorhombic
energy relative to the elements, uncorrected = -1.43 eV per atom